Run w
# TeMo2I

An optimized crystal structure of TeMo2I (GGA-PBE, Alexandria).

The structure in POSCAR format:
```
TeMo2I
1.0
-3.075 3.075 5.997
3.075 -3.075 5.997
3.075 3.075 -5.997
Te Mo I
2 4 2
Cartesian
0.000 0.000 0.000
0.000 3.075 2.999
1.537 -1.536 4.498
1.539 1.537 1.499
1.537 4.610 -1.499
1.536 1.537 7.497
3.075 0.000 2.999
0.000 0.000 5.997
```


Run x
# TeMo2I

An optimized crystal structure of TeMo2I (GGA-PBE, Alexandria).

The structure in POSCAR format:
```
TeMo2I
1.0
0.000 3.355 3.355
3.355 0.000 3.355
3.355 3.355 0.000
Te Mo I
1 2 1
Cartesian
0.000 0.000 0.000
1.678 1.678 1.678
5.033 5.033 5.033
3.355 3.355 3.355
```


Sorted by energy, starting with the most stable: run x, run w.


Run w
# YTe2MoI

An optimized crystal structure of YTe2MoI (GGA-PBE, Alexandria).

The structure in POSCAR format:
```
YTe2MoI
1.0
5.884 0.000 0.000
0.000 5.884 0.000
0.000 0.000 5.857
Y Te Mo I
1 2 1 1
Cartesian
0.000 0.000 0.000
0.000 2.942 0.000
2.942 0.000 0.000
2.942 2.942 2.929
0.000 0.000 2.929
```


Run x
# YTe2MoI

An optimized crystal structure of YTe2MoI (GGA-PBE, Alexandria).

The structure in POSCAR format:
```
YTe2MoI
1.0
5.441 0.000 0.000
0.000 5.441 0.000
0.000 0.000 5.365
Y Te Mo I
1 2 1 1
Cartesian
0.000 0.000 0.000
0.000 2.720 2.683
2.720 0.000 2.683
2.720 2.720 2.683
2.720 2.720 0.000
```


Sorted by energy, starting with the most stable: run x, run w.


Run w
# TiMoI2

An optimized crystal structure of TiMoI2 (GGA-PBE, Alexandria).

The structure in POSCAR format:
```
TiMoI2
1.0
-2.395 2.395 8.510
2.395 -2.395 8.510
2.395 2.395 -8.510
Ti Mo I
2 2 4
Cartesian
0.000 0.000 0.000
0.000 2.395 4.255
2.395 0.000 4.255
0.000 0.000 8.510
1.198 -1.184 6.383
1.212 1.198 2.128
1.198 3.579 -2.128
1.184 1.198 10.638
```


Run x
# TiMoI2

An optimized crystal structure of TiMoI2 (GGA-PBE, Alexandria).

The structure in POSCAR format:
```
TiMoI2
1.0
0.000 3.424 3.424
3.424 0.000 3.424
3.424 3.424 0.000
Ti Mo I
1 1 2
Cartesian
0.000 0.000 0.000
3.424 3.424 3.424
1.712 1.712 1.712
5.135 5.135 5.135
```


Sorted by energy, starting with the most stable: run x, run w.


Run w
# Ti2Mo2I

An optimized crystal structure of Ti2Mo2I (GGA-PBE, Alexandria).

The structure in POSCAR format:
```
Ti2Mo2I
1.0
7.428 0.000 0.000
0.000 7.428 0.000
0.000 0.000 3.423
Ti Mo I
4 4 2
Cartesian
1.020 2.693 0.000
2.693 6.407 0.000
4.734 1.020 0.000
6.407 4.734 0.000
1.040 4.754 1.711
2.674 1.040 1.711
4.754 6.388 1.711
6.388 2.674 1.711
0.000 0.000 1.711
3.714 3.714 1.711
```


Run x
# Ti2Mo2I

An optimized crystal structure of Ti2Mo2I (GGA-PBE, Alexandria).

The structure in POSCAR format:
```
Ti2Mo2I
1.0
-1.856 1.856 7.125
1.856 -1.856 7.125
1.856 1.856 -7.125
Ti Mo I
2 2 1
Cartesian
1.856 0.000 3.562
0.000 1.856 3.562
0.000 0.000 1.633
0.000 0.000 12.617
0.000 0.000 7.125
```


Sorted by energy, starting with the most stable: run w, run x.


Run w
# TiMo2I

An optimized crystal structure of TiMo2I (GGA-PBE, Alexandria).

The structure in POSCAR format:
```
TiMo2I
1.0
0.000 3.235 3.235
3.235 0.000 3.235
3.235 3.235 0.000
Ti Mo I
1 2 1
Cartesian
0.000 0.000 0.000
1.618 1.618 1.618
4.853 4.853 4.853
3.235 3.235 3.235
```


Run x
# TiMo2I

An optimized crystal structure of TiMo2I (GGA-PBE, Alexandria).

The structure in POSCAR format:
```
TiMo2I
1.0
-1.910 1.910 10.371
1.910 -1.910 10.371
1.910 1.910 -10.371
Ti Mo I
2 4 2
Cartesian
0.000 0.000 0.000
0.000 1.910 5.185
2.865 0.913 -2.593
0.913 0.955 2.593
-0.955 0.997 7.778
0.997 0.955 12.963
1.910 0.000 5.185
0.000 0.000 10.371
```


Sorted by energy, starting with the most stable: run w, run x.


Run w
# Ti2MoI

An optimized crystal structure of Ti2MoI (GGA-PBE, Alexandria).

The structure in POSCAR format:
```
Ti2MoI
1.0
-2.824 2.824 6.617
2.824 -2.824 6.617
2.824 2.824 -6.617
Ti Mo I
4 2 2
Cartesian
4.236 0.946 -1.654
0.946 1.412 1.654
-1.412 1.878 4.963
1.878 1.412 8.272
0.000 0.000 0.000
0.000 2.824 3.309
2.824 0.000 3.309
0.000 0.000 6.617
```


Run x
# Ti2MoI

An optimized crystal structure of Ti2MoI (GGA-PBE, Alexandria).

The structure in POSCAR format:
```
Ti2MoI
1.0
0.000 3.293 3.293
3.293 0.000 3.293
3.293 3.293 0.000
Ti Mo I
2 1 1
Cartesian
1.646 1.646 1.646
4.939 4.939 4.939
0.000 0.000 0.000
3.293 3.293 3.293
```


Sorted by energy, starting with the most stable: run x, run w.


Run w
# TlMoI2

An optimized crystal structure of TlMoI2 (GGA-PBE, Alexandria).

The structure in POSCAR format:
```
TlMoI2
1.0
-4.804 4.804 2.906
4.804 -4.804 2.906
4.804 4.804 -2.906
Tl Mo I
2 2 4
Cartesian
0.000 0.000 0.000
0.000 4.804 1.453
4.804 0.000 1.453
0.000 0.000 2.906
2.402 -1.079 2.179
3.724 2.402 0.726
2.402 5.883 -0.726
1.079 2.402 3.632
```


Run x
# TlMoI2

An optimized crystal structure of TlMoI2 (GGA-PBE, Alexandria).

The structure in POSCAR format:
```
TlMoI2
1.0
0.000 4.035 4.035
4.035 0.000 4.035
4.035 4.035 0.000
Tl Mo I
1 1 2
Cartesian
0.000 0.000 0.000
4.035 4.035 4.035
2.018 2.018 2.018
6.053 6.053 6.053
```


Sorted by energy, starting with the most stable: run w, run x.


Run w
# Tl3MoI

An optimized crystal structure of Tl3MoI (GGA-PBE, Alexandria).

The structure in POSCAR format:
```
Tl3MoI
1.0
5.600 0.000 0.000
0.000 5.600 0.000
0.000 0.000 5.600
Tl Mo I
3 1 1
Cartesian
0.000 0.000 2.800
0.000 2.800 0.000
2.800 0.000 0.000
0.000 0.000 0.000
2.800 2.800 2.800
```


Run x
# Tl3MoI

An optimized crystal structure of Tl3MoI (GGA-PBE, Alexandria).

The structure in POSCAR format:
```
Tl3MoI
1.0
6.355 0.000 0.000
0.000 6.355 0.000
0.000 0.000 6.355
Tl Mo I
3 1 1
Cartesian
0.000 0.000 3.177
0.000 3.177 0.000
3.177 0.000 0.000
3.177 3.177 3.177
0.000 0.000 0.000
```


Sorted by energy, starting with the most stable: run w, run x.


Run w
# Tl2Mo2I

An optimized crystal structure of Tl2Mo2I (GGA-PBE, Alexandria).

The structure in POSCAR format:
```
Tl2Mo2I
1.0
9.183 0.000 0.000
0.000 9.183 0.000
0.000 0.000 3.056
Tl Mo I
4 4 2
Cartesian
1.832 2.759 0.000
2.759 7.351 0.000
6.424 1.832 0.000
7.351 6.424 0.000
0.776 5.367 1.528
3.816 0.776 1.528
5.367 8.407 1.528
8.407 3.816 1.528
0.000 0.000 0.000
4.592 4.592 0.000
```


Run x
# Tl2Mo2I

An optimized crystal structure of Tl2Mo2I (GGA-PBE, Alexandria).

The structure in POSCAR format:
```
Tl2Mo2I
1.0
-1.835 1.835 9.535
1.835 -1.835 9.535
1.835 1.835 -9.535
Tl Mo I
2 2 1
Cartesian
0.000 0.000 2.276
0.000 0.000 16.794
1.835 0.000 4.768
0.000 1.835 4.768
0.000 0.000 9.535
```


Sorted by energy, starting with the most stable: run x, run w.


Run w
# Tl2MoI

An optimized crystal structure of Tl2MoI (GGA-PBE, Alexandria).

The structure in POSCAR format:
```
Tl2MoI
1.0
0.000 3.993 3.993
3.993 0.000 3.993
3.993 3.993 0.000
Tl Mo I
2 1 1
Cartesian
1.997 1.997 1.997
5.990 5.990 5.990
0.000 0.000 0.000
3.993 3.993 3.993
```


Run x
# Tl2MoI

An optimized crystal structure of Tl2MoI (GGA-PBE, Alexandria).

The structure in POSCAR format:
```
Tl2MoI
1.0
-2.841 2.841 9.251
2.841 -2.841 9.251
2.841 2.841 -9.251
Tl Mo I
4 2 2
Cartesian
4.262 0.780 -2.313
0.780 1.421 2.313
-1.421 2.062 6.938
2.062 1.421 11.564
0.000 0.000 0.000
0.000 2.841 4.626
2.841 0.000 4.626
0.000 0.000 9.251
```


Sorted by energy, starting with the most stable: run x, run w.


Run w
# V2MoI

An optimized crystal structure of V2MoI (GGA-PBE, Alexandria).

The structure in POSCAR format:
```
V2MoI
1.0
-1.988 1.988 9.008
1.988 -1.988 9.008
1.988 1.988 -9.008
V Mo I
4 2 2
Cartesian
2.981 0.947 -2.252
0.947 0.994 2.252
-0.994 1.041 6.756
1.041 0.994 11.260
1.988 0.000 4.504
0.000 0.000 9.008
0.000 0.000 0.000
0.000 1.988 4.504
```


Run x
# V2MoI

An optimized crystal structure of V2MoI (GGA-PBE, Alexandria).

The structure in POSCAR format:
```
V2MoI
1.0
0.000 3.182 3.182
3.182 0.000 3.182
3.182 3.182 0.000
V Mo I
2 1 1
Cartesian
1.591 1.591 1.591
4.773 4.773 4.773
0.000 0.000 0.000
3.182 3.182 3.182
```


Sorted by energy, starting with the most stable: run x, run w.


Run w
# MoW3I

An optimized crystal structure of MoW3I (GGA-PBE, Alexandria).

The structure in POSCAR format:
```
MoW3I
1.0
4.785 0.000 0.000
0.000 4.785 0.000
0.000 0.000 4.785
Mo W I
1 3 1
Cartesian
0.000 0.000 0.000
0.000 2.392 2.392
2.392 0.000 2.392
2.392 2.392 0.000
2.392 2.392 2.392
```


Run x
# MoW3I

An optimized crystal structure of MoW3I (GGA-PBE, Alexandria).

The structure in POSCAR format:
```
MoW3I
1.0
4.829 0.000 0.000
0.000 4.829 0.000
0.000 0.000 4.829
Mo W I
1 3 1
Cartesian
0.000 0.000 0.000
0.000 0.000 2.415
0.000 2.415 0.000
2.415 0.000 0.000
2.415 2.415 2.415
```


Sorted by energy, starting with the most stable: run x, run w.